(1)
Ho12Co5Bi | PBE | optimized geometry

As for the spin magnetization: 0.003 μB/atom. For the total energy, the calculation gives -99.83 eV per cell. As for the calculated volume: 24.03 A^3/atom. The crystal system is orthorhombic.

Lattice parameters (Å, degrees): 8.2559 8.2559 8.2559 110.91 110.69 106.85
Sites, in units of the cell vectors:
Ho1 0.0132 0.2065 0.8067
Ho2 0.1836 0.2889 0.4725
Ho3 0.1836 0.7111 0.8947
Ho4 0.3120 0.0029 0.6909
Ho5 0.3120 0.6211 0.3091
Ho6 0.3997 0.2065 0.1933
Ho7 0.6003 0.7935 0.8067
Ho8 0.6880 0.3789 0.6909
Ho9 0.6880 0.9971 0.3091
Ho10 0.8164 0.2889 0.1053
Ho11 0.8164 0.7111 0.5275
Ho12 0.9868 0.7935 0.1933
Co1 0.0000 0.0000 0.0000
Co2 0.1118 0.6118 0.5000
Co3 0.3761 0.0000 0.3761
Co4 0.6239 0.0000 0.6239
Co5 0.8882 0.3882 0.5000
Bi1 0.5000 0.5000 0.0000



(2)
InCoBi2 | PBE | optimized geometry

As for the spin magnetization: 0.338 μB/atom. For the total energy, the calculation gives -15.60 eV per cell. As for the calculated volume: 24.92 A^3/atom. The crystal system is cubic.

Lattice parameters (Å, degrees): 5.2042 5.2042 5.2042 60.00 60.00 60.00
Sites, in units of the cell vectors:
In1 0.0000 0.0000 0.0000
Co1 0.2500 0.2500 0.2500
Bi1 0.5000 0.5000 0.5000
Bi2 0.7500 0.7500 0.7500



(3)
Ta2InCo2Bi | PBE | optimized geometry

As for the spin magnetization: 0.001 μB/atom. For the total energy, the calculation gives -89.47 eV per cell. As for the calculated volume: 18.06 A^3/atom. The crystal system is tetragonal.

Lattice parameters (Å, degrees): 7.3598 7.3598 7.3598 131.86 131.86 70.45
Sites, in units of the cell vectors:
Ta1 0.2447 0.2447 0.0000
Ta2 0.5053 0.0053 0.5000
Ta3 0.7553 0.7553 0.0000
Ta4 0.9947 0.4947 0.5000
In1 0.0000 0.0000 0.0000
In2 0.7500 0.2500 0.5000
Co1 0.1272 0.6250 0.0022
Co2 0.3750 0.3772 0.5022
Co3 0.6228 0.1250 0.9978
Co4 0.8750 0.8728 0.4978
Bi1 0.2500 0.7500 0.5000
Bi2 0.5000 0.5000 0.0000



(4)
CoBiIr | PBE | optimized geometry

As for the spin magnetization: 0.720 μB/atom. For the total energy, the calculation gives -18.64 eV per cell. As for the calculated volume: 18.59 A^3/atom. The crystal system is cubic.

Lattice parameters (Å, degrees): 4.2883 4.2883 4.2883 60.00 60.00 60.00
Sites, in units of the cell vectors:
Co1 0.0000 0.0000 0.0000
Bi1 0.7500 0.7500 0.7500
Ir1 0.2500 0.2500 0.2500



(5)
LiCoBiIr | PBE | optimized geometry

As for the spin magnetization: 0.121 μB/atom. For the total energy, the calculation gives -21.25 eV per cell. As for the calculated volume: 15.28 A^3/atom. The crystal system is cubic.

Lattice parameters (Å, degrees): 4.4215 4.4215 4.4215 60.00 60.00 60.00
Sites, in units of the cell vectors:
Li1 0.0000 0.0000 0.0000
Co1 0.7500 0.7500 0.7500
Bi1 0.5000 0.5000 0.5000
Ir1 0.2500 0.2500 0.2500



(6)
LuCoBiIr | PBE | optimized geometry

As for the spin magnetization: 0.439 μB/atom. For the total energy, the calculation gives -25.28 eV per cell. As for the calculated volume: 18.41 A^3/atom. The crystal system is cubic.

Lattice parameters (Å, degrees): 4.7048 4.7048 4.7048 60.00 60.00 60.00
Sites, in units of the cell vectors:
Lu1 0.0000 0.0000 0.0000
Co1 0.7500 0.7500 0.7500
Bi1 0.5000 0.5000 0.5000
Ir1 0.2500 0.2500 0.2500



(7)
LuCoBiIr | PBE | optimized geometry

As for the spin magnetization: 0.465 μB/atom. For the total energy, the calculation gives -24.01 eV per cell. As for the calculated volume: 18.79 A^3/atom. The crystal system is cubic.

Lattice parameters (Å, degrees): 4.7369 4.7369 4.7369 60.00 60.00 60.00
Sites, in units of the cell vectors:
Lu1 0.0000 0.0000 0.0000
Co1 0.5000 0.5000 0.5000
Bi1 0.2500 0.2500 0.2500
Ir1 0.7500 0.7500 0.7500



(8)
MgCoBiIr | PBE | optimized geometry

As for the spin magnetization: 0.297 μB/atom. For the total energy, the calculation gives -21.05 eV per cell. As for the calculated volume: 16.81 A^3/atom. The crystal system is cubic.

Lattice parameters (Å, degrees): 4.5643 4.5643 4.5643 60.00 60.00 60.00
Sites, in units of the cell vectors:
Mg1 0.0000 0.0000 0.0000
Co1 0.7500 0.7500 0.7500
Bi1 0.5000 0.5000 0.5000
Ir1 0.2500 0.2500 0.2500



(9)
CoBiMoIr | PBE | optimized geometry

As for the spin magnetization: 0.015 μB/atom. For the total energy, the calculation gives -28.77 eV per cell. As for the calculated volume: 16.21 A^3/atom. The crystal system is cubic.

Lattice parameters (Å, degrees): 4.5093 4.5093 4.5093 60.00 60.00 60.00
Sites, in units of the cell vectors:
Co1 0.0000 0.0000 0.0000
Bi1 0.7500 0.7500 0.7500
Mo1 0.5000 0.5000 0.5000
Ir1 0.2500 0.2500 0.2500



(10)
NbCoBiIr | PBE | optimized geometry

As for the spin magnetization: 0.252 μB/atom. For the total energy, the calculation gives -28.84 eV per cell. As for the calculated volume: 17.20 A^3/atom. The crystal system is cubic.

Lattice parameters (Å, degrees): 4.5993 4.5993 4.5993 60.00 60.00 60.00
Sites, in units of the cell vectors:
Nb1 0.0000 0.0000 0.0000
Co1 0.7500 0.7500 0.7500
Bi1 0.5000 0.5000 0.5000
Ir1 0.2500 0.2500 0.2500



(11)
NbCoBiIr | PBE | optimized geometry

As for the spin magnetization: 0.000 μB/atom. For the total energy, the calculation gives -28.71 eV per cell. As for the calculated volume: 16.92 A^3/atom. The crystal system is cubic.

Lattice parameters (Å, degrees): 4.5739 4.5739 4.5739 60.00 60.00 60.00
Sites, in units of the cell vectors:
Nb1 0.0000 0.0000 0.0000
Co1 0.5000 0.5000 0.5000
Bi1 0.2500 0.2500 0.2500
Ir1 0.7500 0.7500 0.7500



(12)
CoNiBiIr | PBE | optimized geometry

As for the spin magnetization: 0.432 μB/atom. For the total energy, the calculation gives -23.92 eV per cell. As for the calculated volume: 15.03 A^3/atom. The crystal system is cubic.

Lattice parameters (Å, degrees): 4.3970 4.3970 4.3970 60.00 60.00 60.00
Sites, in units of the cell vectors:
Co1 0.0000 0.0000 0.0000
Ni1 0.5000 0.5000 0.5000
Bi1 0.7500 0.7500 0.7500
Ir1 0.2500 0.2500 0.2500



What is the formula in the sixth record?
LuCoBiIr



Copy entry 12 word for word.
CoNiBiIr | PBE | optimized geometry

As for the spin magnetization: 0.432 μB/atom. For the total energy, the calculation gives -23.92 eV per cell. As for the calculated volume: 15.03 A^3/atom. The crystal system is cubic.

Lattice parameters (Å, degrees): 4.3970 4.3970 4.3970 60.00 60.00 60.00
Sites, in units of the cell vectors:
Co1 0.0000 0.0000 0.0000
Ni1 0.5000 0.5000 0.5000
Bi1 0.7500 0.7500 0.7500
Ir1 0.2500 0.2500 0.2500



What is the calculated volume in the tenth record?
17.20 A^3/atom